A plane-wave DFT calculation with meta-GGA SCAN was carried out for a crystal of SrMg3 relaxed with PBEsol.

Computed properties:
formation enthalpy at 0 K = -1 kJ/mol of formula units

a b c (Å): 3.730 3.730 8.216
angles (deg): 90.00 90.00 90.00
Space group P4/mmm (No. 123)
Symmetry-distinct sites (fractional):
Sr: 0.000 0.000 0.000
Mg: 0.000 0.000 0.500
Mg: 0.500 0.500 0.295

=====

A plane-wave DFT calculation with meta-GGA SCAN was carried out for a crystal of CdTcCl2 relaxed with PBEsol.

Computed properties:
uncorrected formation energy = 91 meV/atom

a b c (Å): 2.927 4.326 12.404
angles (deg): 90.00 90.00 90.00
Space group Imm2 (No. 44)
Symmetry-distinct sites (fractional):
Cd: 0.000 0.000 0.000
Tc: 0.000 0.500 0.305
Cl: 0.000 0.000 0.653
Cl: 0.000 0.500 0.825

=====

A plane-wave DFT calculation with meta-GGA SCAN was carried out for a crystal of Na2SnC2 relaxed with PBEsol.

Computed properties:
formation enthalpy at 0 K = 924 kJ/mol of formula units

a b c (Å): 4.367 4.367 8.187
angles (deg): 90.00 90.00 90.00
Space group I4/mmm (No. 139)
Symmetry-distinct sites (fractional):
Na: 0.000 0.000 0.144
Sn: 0.000 0.000 0.500
C: 0.000 0.500 0.250

=====

A plane-wave DFT calculation with meta-GGA SCAN was carried out for a crystal of Cd3Au relaxed with PBEsol.

Computed properties:
formation enthalpy at 0 K = -64 kJ/mol of formula units

a b c (Å): 4.790 6.031 5.262
angles (deg): 90.00 90.00 90.00
Space group Pmmn (No. 59, origin choice 2)
Symmetry-distinct sites (fractional):
Cd: 0.250 0.002 0.170
Cd: 0.250 0.750 0.650
Au: 0.250 0.250 0.678

=====

Calculated volume values, unit Å³/atom, following the record order: 28.58; 19.64; 15.61; 19.00.
M_tot values, unit μB/atom, following the record order: 0.05; 0.00; 0.00; 0.00.